# 1
! CrCu2P2 PBE-GGA relaxed; values from VASP
! Calculated formation energy (eV/atom): 0.137
&SYSTEM
  ibrav = 0, nat = 5, ntyp = 3
/
ATOMIC_SPECIES
Cr 52.00 Cr.upf
Cu 63.55 Cu.upf
P 30.97 P.upf
ATOMIC_POSITIONS angstrom
Cr 0.0000 0.0000 0.0000
Cu 1.9165 0.0000 2.4446
Cu 0.0000 1.9165 2.4446
P 0.0000 0.0000 3.8071
P 0.0000 0.0000 5.9714
CELL_PARAMETERS angstrom
-1.9165 1.9165 4.8893
1.9165 -1.9165 4.8893
1.9165 1.9165 -4.8893



# 2
! SiB2C PBE-GGA relaxed; values from VASP
! ΔE_f (raw) (eV per atom): 0.4564
&SYSTEM
  ibrav = 0, nat = 8, ntyp = 3
/
ATOMIC_SPECIES
Si 28.09 Si.upf
B 10.81 B.upf
C 12.01 C.upf
ATOMIC_POSITIONS angstrom
Si 0.0000 0.0000 0.0000
Si 0.0000 2.1861 1.9734
B 1.0931 -0.7309 2.9601
B 1.4552 1.0931 0.9867
B 1.0931 2.9171 -0.9867
B 0.7309 1.0931 4.9335
C 2.1861 0.0000 1.9734
C 0.0000 0.0000 3.9468
CELL_PARAMETERS angstrom
-2.1861 2.1861 3.9468
2.1861 -2.1861 3.9468
2.1861 2.1861 -3.9468



# 3
! InSi2HgF PBE-GGA relaxed; values from VASP
! ΔE_f (raw) (eV per atom): 0.6851
&SYSTEM
  ibrav = 0, nat = 5, ntyp = 4
/
ATOMIC_SPECIES
In 114.82 In.upf
Si 28.09 Si.upf
Hg 200.59 Hg.upf
F 19.00 F.upf
ATOMIC_POSITIONS angstrom
In 0.0000 0.0000 0.0000
Si 0.0000 2.5848 3.0188
Si 2.5848 0.0000 3.0188
Hg 0.0000 0.0000 3.0188
F 2.5848 2.5848 0.0000
CELL_PARAMETERS angstrom
5.1696 0.0000 0.0000
0.0000 5.1696 0.0000
0.0000 0.0000 6.0377



# 4
! La2ScI PBE-GGA relaxed; values from VASP
! ΔE_f (raw) (eV per atom): -0.0370
&SYSTEM
  ibrav = 0, nat = 8, ntyp = 3
/
ATOMIC_SPECIES
La 138.91 La.upf
Sc 44.96 Sc.upf
I 126.90 I.upf
ATOMIC_POSITIONS angstrom
La 6.8030 2.0441 -0.8200
La 2.0441 2.2677 0.8200
La -2.2677 2.4913 2.4600
La 2.4913 2.2677 4.1000
Sc 4.5353 0.0000 1.6400
Sc 0.0000 0.0000 3.2800
I 0.0000 0.0000 0.0000
I 0.0000 4.5353 1.6400
CELL_PARAMETERS angstrom
-4.5353 4.5353 3.2800
4.5353 -4.5353 3.2800
4.5353 4.5353 -3.2800



# 5
! PrBiSb2 PBE-GGA relaxed; values from VASP
! ΔE_f (raw) (eV per atom): -0.1839
&SYSTEM
  ibrav = 0, nat = 4, ntyp = 3
/
ATOMIC_SPECIES
Pr 140.91 Pr.upf
Bi 208.98 Bi.upf
Sb 121.76 Sb.upf
ATOMIC_POSITIONS angstrom
Pr 0.0000 0.0000 0.0000
Bi 0.0000 0.0000 17.5297
Sb 0.0000 0.0000 14.3372
Sb 0.0000 0.0000 20.7221
CELL_PARAMETERS angstrom
1.7565 1.0141 11.6864
-1.7565 1.0141 11.6864
0.0000 -2.0283 11.6864



# 6
! RbAg3Sb3 PBE-GGA relaxed; values from VASP
! ΔE_f (raw) (eV per atom): 0.1174
&SYSTEM
  ibrav = 0, nat = 14, ntyp = 3
/
ATOMIC_SPECIES
Rb 85.47 Rb.upf
Ag 107.87 Ag.upf
Sb 121.76 Sb.upf
ATOMIC_POSITIONS angstrom
Rb 0.0000 0.0000 4.2403
Rb 0.0000 0.0000 21.2502
Ag -2.8585 0.0929 9.6763
Ag -1.5097 -2.4291 15.8141
Ag 1.3488 -2.5220 9.6763
Ag -1.3489 2.5220 15.8141
Ag 1.5097 2.4291 9.6763
Ag 2.8585 -0.0929 15.8141
Sb -1.3357 -2.1577 10.0864
Sb -2.5365 0.0779 15.4040
Sb -1.2007 2.2356 10.0864
Sb 1.2007 -2.2356 15.4040
Sb 2.5365 -0.0779 10.0864
Sb 1.3357 2.1577 15.4041
CELL_PARAMETERS angstrom
4.0531 2.3401 8.4968
-4.0531 2.3401 8.4968
0.0000 -4.6801 8.4968



# 7
! LiMn2Sb2 PBE-GGA relaxed; values from VASP
! ΔE_f (raw) (eV per atom): 0.0261
&SYSTEM
  ibrav = 0, nat = 10, ntyp = 3
/
ATOMIC_SPECIES
Li 6.94 Li.upf
Mn 54.94 Mn.upf
Sb 121.76 Sb.upf
ATOMIC_POSITIONS angstrom
Li 0.0000 0.0000 0.0000
Li 3.7893 3.7893 0.0000
Mn 0.9191 2.8701 0.0000
Mn 2.8701 6.6594 0.0000
Mn 4.7084 0.9191 0.0000
Mn 6.6594 4.7084 0.0000
Sb 1.2965 5.0858 1.6635
Sb 2.4927 1.2965 1.6635
Sb 5.0858 6.2820 1.6635
Sb 6.2820 2.4927 1.6635
CELL_PARAMETERS angstrom
7.5785 0.0000 0.0000
0.0000 7.5785 0.0000
0.0000 0.0000 3.3271



# 8
! YMo2W PBE-GGA relaxed; values from VASP
! Calculated formation energy (eV/atom): 0.536
&SYSTEM
  ibrav = 0, nat = 4, ntyp = 3
/
ATOMIC_SPECIES
Y 88.91 Y.upf
Mo 95.94 Mo.upf
W 183.84 W.upf
ATOMIC_POSITIONS angstrom
Y 0.0000 0.0000 0.0000
Mo 0.0000 0.0000 6.4769
Mo 0.0000 0.0000 20.5719
W 0.0000 0.0000 13.5244
CELL_PARAMETERS angstrom
1.5581 0.8996 9.0163
-1.5581 0.8996 9.0163
0.0000 -1.7992 9.0163



# 9
! V12Ga6Ge PBE-GGA relaxed; values from VASP
! Calculated formation energy (eV/atom): -0.045
&SYSTEM
  ibrav = 0, nat = 19, ntyp = 3
/
ATOMIC_SPECIES
V 50.94 V.upf
Ga 69.72 Ga.upf
Ge 72.64 Ge.upf
ATOMIC_POSITIONS angstrom
V -1.2950 -4.0846 4.6298
V -4.1849 -0.9208 6.4201
V -1.0618 -1.0653 3.3637
V -2.8899 3.1638 4.6298
V -0.3917 1.4522 3.3637
V 1.4535 -0.3868 3.3637
V -1.4535 0.3868 7.6862
V 0.3917 -1.4522 7.6862
V 2.8899 -3.1638 6.4201
V 1.0618 1.0653 7.6862
V 4.1849 0.9208 4.6298
V 1.2950 4.0846 6.4201
Ga -2.5019 0.6149 5.0315
Ga -1.7835 -1.8592 6.0183
Ga 0.7184 -2.4741 5.0315
Ga -0.7184 2.4741 6.0183
Ga 1.7835 1.8592 5.0315
Ga 2.5019 -0.6149 6.0183
Ge 0.0000 0.0000 5.5249
CELL_PARAMETERS angstrom
4.5999 2.6558 3.6833
-4.5999 2.6558 3.6833
0.0000 -5.3115 3.6833



# 10
! SiTc2Te PBE-GGA relaxed; values from VASP
! ΔE_f (raw) (eV per atom): 0.1774
&SYSTEM
  ibrav = 0, nat = 4, ntyp = 3
/
ATOMIC_SPECIES
Si 28.09 Si.upf
Tc 98.00 Tc.upf
Te 127.60 Te.upf
ATOMIC_POSITIONS angstrom
Si 0.0000 0.0000 0.0000
Tc 0.0000 0.0000 5.8771
Tc 0.0000 0.0000 16.7191
Te 0.0000 0.0000 11.2981
CELL_PARAMETERS angstrom
1.5907 0.9184 7.5321
-1.5907 0.9184 7.5321
0.0000 -1.8368 7.5321



# 11
! LiPmGePt2 PBE-GGA relaxed; values from VASP
! Calculated formation energy (eV/atom): -0.841
&SYSTEM
  ibrav = 0, nat = 5, ntyp = 4
/
ATOMIC_SPECIES
Li 6.94 Li.upf
Pm 145.00 Pm.upf
Ge 72.64 Ge.upf
Pt 195.08 Pt.upf
ATOMIC_POSITIONS angstrom
Li 0.0000 0.0000 0.0000
Pm 0.0000 2.0966 2.8134
Ge 1.9420 0.0000 4.2409
Pt 1.9420 0.0000 1.7678
Pt 0.0000 0.0000 5.7625
CELL_PARAMETERS angstrom
-1.9420 2.0966 5.7926
1.9420 -2.0966 5.7926
1.9420 2.0966 -5.7926



# 12
! TaMn2TcH PBE-GGA relaxed; values from VASP
! Raw total energy (eV per atom): -8.81
&SYSTEM
  ibrav = 0, nat = 5, ntyp = 4
/
ATOMIC_SPECIES
Ta 180.95 Ta.upf
Mn 54.94 Mn.upf
Tc 98.00 Tc.upf
H 1.01 H.upf
ATOMIC_POSITIONS angstrom
Ta 0.0000 0.0000 0.0000
Mn 0.0000 1.8812 2.0618
Mn 1.8812 0.0000 2.0618
Tc 1.8812 1.8812 0.0000
H 1.8812 1.8812 2.0618
CELL_PARAMETERS angstrom
3.7625 0.0000 0.0000
0.0000 3.7625 0.0000
0.0000 0.0000 4.1235



# 13
! RbAsH2Pt PBE-GGA relaxed; values from VASP
! Raw total energy (eV per atom): -2.57
&SYSTEM
  ibrav = 0, nat = 5, ntyp = 4
/
ATOMIC_SPECIES
Rb 85.47 Rb.upf
As 74.92 As.upf
H 1.01 H.upf
Pt 195.08 Pt.upf
ATOMIC_POSITIONS angstrom
Rb 0.0000 0.0000 0.0000
As 1.9163 1.9163 3.4311
H 0.0000 1.9163 0.0000
H 1.9163 0.0000 0.0000
Pt 0.0000 0.0000 3.4311
CELL_PARAMETERS angstrom
3.8326 0.0000 0.0000
0.0000 3.8326 0.0000
0.0000 0.0000 6.8623



# 14
! CaNd2Cu PBE-GGA relaxed; values from VASP
! Calculated formation energy (eV/atom): 0.090
&SYSTEM
  ibrav = 0, nat = 4, ntyp = 3
/
ATOMIC_SPECIES
Ca 40.08 Ca.upf
Nd 144.24 Nd.upf
Cu 63.55 Cu.upf
ATOMIC_POSITIONS angstrom
Ca 0.0000 0.0000 0.0000
Nd 0.0000 0.0000 17.6373
Nd 0.0000 0.0000 24.1115
Cu 0.0000 0.0000 5.2303
CELL_PARAMETERS angstrom
1.8906 1.0915 10.4270
-1.8906 1.0915 10.4270
0.0000 -2.1831 10.4270



# 15
! PbIN2Cl PBE-GGA relaxed; values from VASP
! ΔE_f (raw) (eV per atom): 1.6725
&SYSTEM
  ibrav = 0, nat = 5, ntyp = 4
/
ATOMIC_SPECIES
Pb 207.20 Pb.upf
I 126.90 I.upf
N 14.01 N.upf
Cl 35.45 Cl.upf
ATOMIC_POSITIONS angstrom
Pb 0.0000 0.0000 0.0000
I 0.0000 0.0000 3.4646
N 0.0000 2.2456 0.0000
N 2.2456 0.0000 0.0000
Cl 2.2456 2.2456 3.4646
CELL_PARAMETERS angstrom
4.4913 0.0000 0.0000
0.0000 4.4913 0.0000
0.0000 0.0000 6.9292



# 16
! Pr2GaCu4Sn3 PBE-GGA relaxed; values from VASP
! Calculated formation energy (eV/atom): -0.440
&SYSTEM
  ibrav = 0, nat = 10, ntyp = 4
/
ATOMIC_SPECIES
Pr 140.91 Pr.upf
Ga 69.72 Ga.upf
Cu 63.55 Cu.upf
Sn 118.71 Sn.upf
ATOMIC_POSITIONS angstrom
Pr 0.0000 2.2017 2.6622
Pr 2.2017 0.0000 8.0015
Ga 0.0000 0.0000 5.3318
Cu 0.0000 0.0000 0.0000
Cu 0.0000 2.2017 6.7034
Cu 2.2017 0.0000 3.9603
Cu 2.2017 2.2017 0.0000
Sn 0.0000 2.2017 9.2571
Sn 2.2017 0.0000 1.4066
Sn 2.2017 2.2017 5.3318
CELL_PARAMETERS angstrom
4.4035 0.0000 0.0000
0.0000 4.4035 0.0000
0.0000 0.0000 10.6637



# 17
! Pm3Y3In2 PBE-GGA relaxed; values from VASP
! Calculated formation energy (eV/atom): -0.178
&SYSTEM
  ibrav = 0, nat = 16, ntyp = 3
/
ATOMIC_SPECIES
Pm 145.00 Pm.upf
Y 88.91 Y.upf
In 114.82 In.upf
ATOMIC_POSITIONS angstrom
Pm 2.6198 5.5260 9.6986
Pm 2.6198 5.5260 14.3502
Pm 2.6198 2.8549 12.0244
Pm 2.6198 -2.8549 4.0081
Pm 2.6198 -5.5260 1.6823
Pm 2.6198 -5.5260 6.3340
Y 2.6198 1.6940 8.5615
Y 2.6198 1.6940 15.4874
Y 2.6198 0.4950 4.0081
Y 2.6198 -0.4950 12.0244
Y 2.6198 -1.6940 0.5452
Y 2.6198 -1.6940 7.4711
In 2.6198 3.2097 2.2074
In 2.6198 3.2097 5.8089
In 2.6198 -3.2097 10.2237
In 2.6198 -3.2097 13.8252
CELL_PARAMETERS angstrom
2.6198 -5.9896 0.0000
2.6198 5.9896 0.0000
0.0000 0.0000 16.0326



# 18
! In2SbP PBE-GGA relaxed; values from VASP
! ΔE_f (raw) (eV per atom): 0.0873
&SYSTEM
  ibrav = 0, nat = 4, ntyp = 3
/
ATOMIC_SPECIES
In 114.82 In.upf
Sb 121.76 Sb.upf
P 30.97 P.upf
ATOMIC_POSITIONS angstrom
In 0.0000 0.0000 0.0000
In 0.0000 0.0000 5.5007
Sb 0.0000 0.0000 11.0411
P 0.0000 0.0000 17.2127
CELL_PARAMETERS angstrom
1.9472 1.1242 7.7717
-1.9472 1.1242 7.7717
0.0000 -2.2484 7.7717



# 19
! YScBeRu PBE-GGA relaxed; values from VASP
! Calculated formation energy (eV/atom): -0.199
&SYSTEM
  ibrav = 0, nat = 4, ntyp = 4
/
ATOMIC_SPECIES
Y 88.91 Y.upf
Sc 44.96 Sc.upf
Be 9.01 Be.upf
Ru 101.07 Ru.upf
ATOMIC_POSITIONS angstrom
Y 0.0000 0.0000 0.0000
Sc 3.3179 3.3179 3.3179
Be 1.6589 1.6589 1.6589
Ru 4.9768 4.9768 4.9768
CELL_PARAMETERS angstrom
0.0000 3.3179 3.3179
3.3179 0.0000 3.3179
3.3179 3.3179 0.0000



# 20
! Pa2BeCoN5 PBE-GGA relaxed; values from VASP
! ΔE_f (raw) (eV per atom): -0.9768
&SYSTEM
  ibrav = 0, nat = 18, ntyp = 4
/
ATOMIC_SPECIES
Pa 231.04 Pa.upf
Be 9.01 Be.upf
Co 58.93 Co.upf
N 14.01 N.upf
ATOMIC_POSITIONS angstrom
Pa 1.6106 5.0955 4.4169
Pa 1.6106 5.0917 8.0843
Pa 1.6106 -5.0917 3.6674
Pa 1.6106 -5.0955 0.0000
Be 1.6106 0.5674 5.9445
Be 1.6106 -0.5674 1.5276
Co 1.6106 3.8751 1.8771
Co 1.6106 -3.8751 6.2940
N 1.6106 5.8878 1.9643
N 1.6106 2.8243 7.5374
N 1.6106 2.8057 5.0391
N 1.6106 1.8098 1.8864
N 1.6106 0.0440 4.2486
N 1.6106 -0.0440 8.6655
N 1.6106 -1.8098 6.3033
N 1.6106 -2.8057 0.6222
N 1.6106 -2.8243 3.1205
N 1.6106 -5.8878 6.3812
CELL_PARAMETERS angstrom
1.6106 -6.7997 0.0000
1.6106 6.7997 0.0000
0.0000 0.0000 8.8338